(1)
Material: Pm5Nd4Pu
Method: DFT, GGA-PBE
State: relaxed

Computed properties:
The formation energy from the elements is 0.272 eV per atom.

Cell lengths 17.852, 4.969, 8.838 Å; angles 90.00, 113.95, 90.00 degrees
Space group C2/m (No. 12)
Unique sites:
Pm1 0.000 0.000 0.000 x2
Pm2 0.154 0.500 0.699 x4
Pm3 0.182 0.500 0.115 x4
Nd1 0.032 0.500 0.274 x4
Nd2 0.176 0.000 0.424 x4
Pu1 0.000 0.000 0.500 x2

(2)
Material: Tc3PtN
Method: DFT, GGA-PBE
State: relaxed

Computed properties:
Its total DFT energy (no corrections) is -45.8 eV/f.u.

Cell lengths 4.042, 4.042, 4.042 Å; angles 90.00, 90.00, 90.00 degrees
Space group Pm-3m (No. 221)
Unique sites:
Tc1 0.000 0.000 0.500 x3
Pt1 0.500 0.500 0.500 x1
N1 0.000 0.000 0.000 x1

| no. | calculated volume (Å³ per atom) |
| --- | --- |
| 1 | 35.83 |
| 2 | 13.21 |